(1)
Below is crystalline SrTePt4 at its relaxed geometry, with properties calculated at the PBE-GGA level.

For the total magnetic moment, the calculation gives 0.000 μB/atom.

It has space group F-43m (No. 216), with a = 7.791 Å, b = 7.791 Å, c = 7.791 Å, α = 90.00°, β = 90.00° and γ = 90.00°. The asymmetric unit holds Sr at (0.000, 0.000, 0.000), Te at (0.250, 0.250, 0.750) and Pt at (0.125, 0.125, 0.375).

***

(2)
Below is crystalline Sr2TePt2 at its relaxed geometry, with properties calculated at the PBE-GGA level.

The calculation puts the offset from the most stable computed form at 0.0 meV/atom. For the total magnetic moment, the calculation gives 0.000 μB/atom.

It has space group I4/mmm (No. 139), with a = 5.949 Å, b = 5.949 Å, c = 8.046 Å, α = 90.00°, β = 90.00° and γ = 90.00°. The asymmetric unit holds Sr at (0.000, 0.500, 0.250), Te at (0.000, 0.000, 0.000) and Pt at (0.000, 0.000, 0.342).

***

(3)
Below is crystalline SrTe2Pt at its relaxed geometry, with properties calculated at the PBE-GGA level.

The calculation puts the offset from the most stable computed form at 370.4 meV/atom. For the total magnetic moment, the calculation gives 0.000 μB/atom.

It has space group P4mm (No. 99), with a = 3.776 Å, b = 3.776 Å, c = 8.601 Å, α = 90.00°, β = 90.00° and γ = 90.00°. The asymmetric unit holds Sr at (0.000, 0.000, 0.000), Te at (0.000, 0.000, 0.616), Te at (0.500, 0.500, 0.218) and Pt at (0.500, 0.500, 0.700).

***

(4)
Below is crystalline SrTe8Pt4 at its relaxed geometry, with properties calculated at the PBE-GGA level.

For the total magnetic moment, the calculation gives 0.000 μB/atom.

It has space group R-3m (No. 166, hexagonal axes), with a = 8.1015 Å, b = 8.1015 Å, c = 23.3327 Å, α = 90.00°, β = 90.00° and γ = 120.00°. The asymmetric unit holds Sr at (0.0000, 0.0000, 0.0000), Te at (0.0000, 0.0000, 0.2271), Te at (0.0048, 0.5024, 0.7734), Pt at (0.0000, 0.0000, 0.5000) and Pt at (0.0000, 0.5000, 0.5000).

***

(5)
Below is crystalline SrTePt at its relaxed geometry, with properties calculated at the PBE-GGA level.

The calculation puts the offset from the most stable computed form at 287.0 meV/atom. For the total magnetic moment, the calculation gives 0.000 μB/atom.

It has space group Cmcm (No. 63), with a = 4.180 Å, b = 10.430 Å, c = 7.464 Å, α = 90.00°, β = 90.00° and γ = 90.00°. The asymmetric unit holds Sr at (0.000, 0.213, 0.250), Te at (0.000, 0.500, 0.000) and Pt at (0.000, 0.073, 0.750).

***

(6)
Below is crystalline SrTePt at its relaxed geometry, with properties calculated at the PBE-GGA level.

The calculation puts the offset from the most stable computed form at 106.0 meV/atom. For the total magnetic moment, the calculation gives 0.000 μB/atom.

It has space group C2/m (No. 12), with a = 11.724 Å, b = 4.402 Å, c = 6.946 Å, α = 90.00°, β = 92.35° and γ = 90.00°. The asymmetric unit holds Sr at (0.127, 0.000, 0.305), Te at (0.161, 0.000, 0.809) and Pt at (0.080, 0.500, 0.643).

***

(7)
Below is crystalline SrTe4Pt at its relaxed geometry, with properties calculated at the PBE-GGA level.

For the total magnetic moment, the calculation gives 0.000 μB/atom.

It has space group F-43m (No. 216), with a = 8.931 Å, b = 8.931 Å, c = 8.931 Å, α = 90.00°, β = 90.00° and γ = 90.00°. The asymmetric unit holds Sr at (0.000, 0.000, 0.000), Te at (0.123, 0.123, 0.623) and Pt at (0.250, 0.250, 0.250).

***

(8)
Below is crystalline SrTe2Pt at its relaxed geometry, with properties calculated at the PBE-GGA level.

The calculation puts the offset from the most stable computed form at 650.5 meV/atom. For the total magnetic moment, the calculation gives 0.000 μB/atom.

It has space group I4/mmm (No. 139), with a = 4.536 Å, b = 4.536 Å, c = 10.490 Å, α = 90.00°, β = 90.00° and γ = 90.00°. The asymmetric unit holds Sr at (0.000, 0.000, 0.000), Te at (0.000, 0.500, 0.250) and Pt at (0.000, 0.000, 0.500).

***

Number 1: formation energy from raw total energies -0.396 eV per atom. Number 2: formation energy from raw total energies -0.905 eV per atom. Number 3: formation energy from raw total energies -0.561 eV per atom. Number 4: formation energy from raw total energies -0.461 eV per atom. Number 5: formation energy from raw total energies -0.812 eV per atom. Number 6: formation energy from raw total energies -0.993 eV per atom. Number 7: formation energy from raw total energies 0.147 eV per atom. Number 8: formation energy from raw total energies -0.281 eV per atom.